Cs12Rb5Br2 | PBE | relaxed

abc: 11.2191 12.9892 14.9664
angles: 112.61 112.01 90.00
Sites, in units of the cell vectors:
Rb: 0.2421 0.9839 0.4843
Cs: 0.5999 0.8319 0.7136
Cs: 0.0243 0.8555 0.0487
Cs: 0.9757 0.1445 0.9513
Rb: 0.2384 0.5009 0.4767
Rb: 0.7579 0.0161 0.5157
Rb: 0.7616 0.4991 0.5233
Rb: 0.0000 0.5000 0.0000
Cs: 0.1381 0.3596 0.7226
Cs: 0.4922 0.2022 0.9844
Br: 0.7345 0.0000 0.0000
Cs: 0.8619 0.6404 0.2774
Cs: 0.5846 0.3596 0.7226
Cs: 0.1137 0.8319 0.7136
Cs: 0.4154 0.6404 0.2774
Cs: 0.8863 0.1681 0.2864
Br: 0.2655 0.0000 0.0000
Cs: 0.5078 0.7978 0.0156
Cs: 0.4001 0.1681 0.2864

Output
* DOS(E_F): 17.5 states/eV/cell

=====

CsRbBr | PBE | relaxed

abc: 6.2166 6.2166 6.2166
angles: 60.00 60.00 60.00
Sites, in units of the cell vectors:
Br: 0.2500 0.2500 0.2500
Cs: 0.0000 0.0000 0.0000
Rb: 0.5000 0.5000 0.5000

Output
* DOS(E_F): 2.4 states/eV/cell
* excess energy over the best structure of this formula in the dataset: 129 meV per atom

=====

Cs6RbBr8 | PBE | relaxed

abc: 7.3652 10.7562 10.7562
angles: 120.00 90.00 90.00
Each line ends with the local moment (μB).
Sites, in units of the cell vectors:
Br: 0.2859 0.7104 0.9999  0.10
Br: 0.2859 0.0001 0.7104  0.10
Cs: 0.2199 0.6303 0.6300  0.00
Cs: 0.2199 0.3700 0.0002  0.00
Br: 0.7141 0.2896 0.0001  0.10
Rb: 0.5000 0.0000 0.0000  0.00
Br: 0.7141 0.7104 0.7104  0.10
Cs: 0.2199 0.9998 0.3697  0.00
Br: 0.7141 0.9999 0.2896  0.10
Br: 0.2859 0.2896 0.2896  0.10
Cs: 0.7801 0.6300 0.9998  0.00
Cs: 0.7801 0.0002 0.6303  0.00
Cs: 0.7801 0.3697 0.3700  0.00
Br: 0.0018 0.3333 0.6667  0.18
Br: 0.9982 0.6667 0.3333  0.18

Output
* DOS(E_F): 27.6 states/eV/cell

=====

Cs4Rb3Br | PBE | relaxed

abc: 7.4562 15.4044 13.0600
angles: 90.00 90.00 90.00
Sites, in units of the cell vectors:
Br: 0.9360 0.0000 0.8370
Rb: 0.9351 0.1830 0.4320
Rb: 0.4351 0.0000 0.4006
Rb: 0.9351 0.8170 0.4320
Br: 0.4360 0.5000 0.1630
Cs: 0.4358 0.7327 0.1636
Rb: 0.4351 0.3170 0.5680
Cs: 0.9358 0.2327 0.8364
Cs: 0.4360 0.0000 0.7897
Cs: 0.9358 0.7673 0.8364
Rb: 0.4351 0.6830 0.5680
Cs: 0.9360 0.5000 0.2103
Cs: 0.4358 0.2673 0.1636
Cs: 0.4358 0.5000 0.8913
Rb: 0.9351 0.5000 0.5994
Cs: 0.9358 0.0000 0.1087

Output
* DOS(E_F): 11.7 states/eV/cell

=====

Cs4RbBr2 | PBE | relaxed

abc: 7.8750 7.8750 11.6611
angles: 70.27 70.27 90.00
Sites, in units of the cell vectors:
Cs: 0.0000 0.5000 0.0000
Br: 0.5922 0.5922 0.8155
Cs: 0.2458 0.2458 0.5083
Cs: 0.7542 0.7542 0.4917
Br: 0.4078 0.4078 0.1845
Cs: 0.5000 0.0000 0.0000
Rb: 0.0000 0.0000 0.0000

Output
* DOS(E_F): 3.5 states/eV/cell

=====

Cs2RbBr | PBE | relaxed

abc: 5.1129 5.1129 14.1685
angles: 79.61 79.61 60.00
Sites, in units of the cell vectors:
Cs: 0.8864 0.8864 0.3409
Br: 0.5000 0.5000 0.5000
Rb: 0.0000 0.0000 0.0000
Cs: 0.1136 0.1136 0.6591

Output
* DOS(E_F): 2.5 states/eV/cell
* excess energy over the best structure of this formula in the dataset: 25 meV per atom

=====

no.,uncorrected formation energy (kcal/mol of atoms)
1,-7.55
2,-22.99
3,-36.63
4,-9.06
5,-15.40
6,-19.20